[1]
# CaMn3O4

An optimized crystal structure of CaMn3O4 (PBE+U, the Alexandria database).

Values from the calculation:
E_tot ... -7.186 eV per atom
M_tot ... 13.0 μB/cell
Calculated density ... 4.69 g/cm³

```
8
Lattice="-3.108 0.726 0.405 0.385 -0.132 3.192 2.106 8.950 0.115" Properties=species:S:1:pos:R:3 pbc="T T T"
Ca 0.000 0.000 0.000
Mn 0.201 6.941 1.884
Mn 1.053 4.475 0.058
Mn -0.819 2.604 1.828
O 0.547 2.326 0.030
O -1.362 0.297 1.798
O 1.559 6.624 0.085
O -0.309 4.772 1.856
```

---

[2]
# CaMn2O4

An optimized crystal structure of CaMn2O4 (PBE+U, the Alexandria database).

Values from the calculation:
E_tot ... -7.215 eV per atom
M_tot ... 32.0 μB/cell
ΔE to the lowest computed polymorph ... 0.081 eV/atom
Calculated density ... 4.00 g/cm³

```
28
Lattice="-2.535 0.110 -5.720 8.278 -5.613 -3.968 -2.428 -5.370 -2.399" Properties=species:S:1:pos:R:3 pbc="T T T"
Ca -2.372 -5.275 -2.429
Ca 0.535 -7.956 -7.313
Ca -0.084 -2.290 -6.873
Ca 5.296 -5.221 -6.033
Mn 2.835 -7.869 -10.103
Mn 2.647 -6.516 -4.832
Mn 4.094 -7.921 -7.223
Mn -0.589 -2.118 -3.140
Mn 2.249 -4.916 -8.049
Mn -0.041 -5.010 -5.208
Mn -2.728 -3.618 -5.637
Mn -1.288 -4.937 -8.149
O -1.944 -5.532 -5.845
O 3.360 -8.657 -5.201
O 1.661 -4.394 -4.564
O 4.957 -7.443 -9.340
O -0.902 -3.232 -4.918
O 4.487 -6.168 -4.094
O 0.372 -4.540 -7.126
O 5.802 -7.463 -6.266
O 0.448 -3.343 -1.793
O 3.295 -6.159 -6.701
O -0.548 -6.646 -8.714
O 4.868 -9.619 -7.846
O -0.409 -5.523 -3.371
O 2.486 -8.350 -8.250
O 0.768 -6.751 -5.467
O 3.798 -9.626 -10.294
```

---

[3]
# CaMn3O

An optimized crystal structure of CaMn3O (PBE+U, the Alexandria database).

Values from the calculation:
E_tot ... -2.097 eV per atom
M_tot ... 1.1 μB/cell
ΔE to the lowest computed polymorph ... 3.786 eV/atom
Calculated density ... 3.19 g/cm³

```
5
Lattice="-4.118 -0.282 2.570 -1.329 -3.915 -2.559 2.217 -2.870 3.238" Properties=species:S:1:pos:R:3 pbc="T T T"
Ca 0.000 0.000 0.000
Mn -0.664 -1.957 -1.280
Mn 1.109 -1.435 1.619
Mn -2.059 -0.141 1.285
O -1.615 -3.533 1.624
```

---

[4]
# CaMn2O4

An optimized crystal structure of CaMn2O4 (PBE+U, the Alexandria database).

Values from the calculation:
E_tot ... -7.223 eV per atom
M_tot ... 30.0 μB/cell
ΔE to the lowest computed polymorph ... 0.073 eV/atom
Calculated density ... 4.01 g/cm³

```
28
Lattice="5.158 -0.014 -0.004 -0.337 6.159 0.000 -0.043 -0.033 11.160" Properties=species:S:1:pos:R:3 pbc="T T T"
Ca 0.405 4.773 8.396
Ca 4.374 1.339 2.759
Ca 2.292 4.366 2.786
Ca 2.487 1.746 8.369
Mn 2.462 1.493 5.413
Mn 2.466 1.466 0.119
Mn 2.317 4.619 5.742
Mn 2.313 4.646 11.036
Mn -0.190 3.063 5.580
Mn 0.000 0.000 0.000
Mn -0.021 -0.016 5.580
Mn -0.168 3.079 0.000
O 0.782 1.369 4.458
O 0.728 1.619 1.003
O 3.997 4.743 6.697
O 4.051 4.493 10.152
O 4.011 1.681 6.577
O 4.013 1.316 10.159
O 0.768 4.431 4.578
O 0.766 4.796 0.996
O 1.421 3.243 6.818
O 1.565 0.188 9.984
O 3.166 5.925 4.437
O 3.349 2.854 1.182
O 3.358 2.869 4.337
O 3.214 5.924 1.171
O 1.613 0.187 6.719
O 1.430 3.258 9.973
```